A plane-wave DFT calculation with PBE was carried out for a geometry-optimized Mg5Ni6Ge structure.

Geometry as CIF:
```
data_Mg5Ni6Ge
_chemical_formula_sum 'Mg5 Ni6 Ge1'
_cell_length_a 4.295
_cell_length_b 5.988
_cell_length_c 7.447
_cell_angle_alpha 66.30
_cell_angle_beta 72.38
_cell_angle_gamma 90.00
_space_group_name_H-M_alt 'P 1'
_space_group_IT_number 1
loop_
_space_group_symop_operation_xyz
'x,y,z'
loop_
_atom_site_label
_atom_site_type_symbol
_atom_site_fract_x
_atom_site_fract_y
_atom_site_fract_z
Mg1 Mg 0.676 0.179 0.643
Mg2 Mg 0.662 0.664 0.672
Mg3 Mg 0.000 0.500 0.000
Mg4 Mg 0.324 0.821 0.357
Mg5 Mg 0.338 0.336 0.328
Ni1 Ni 0.152 0.923 0.688
Ni2 Ni 0.500 0.778 0.000
Ni3 Ni 0.848 0.611 0.312
Ni4 Ni 0.500 0.222 0.000
Ni5 Ni 0.152 0.389 0.688
Ni6 Ni 0.848 0.077 0.312
Ge1 Ge 0.000 0.000 0.000
```

***

A plane-wave DFT calculation with PBE was carried out for a geometry-optimized ZrMo2Pb structure.

Geometry as CIF:
```
data_ZrMo2Pb
_chemical_formula_sum 'Zr1 Mo2 Pb1'
_cell_length_a 8.958
_cell_length_b 8.958
_cell_length_c 8.958
_cell_angle_alpha 20.90
_cell_angle_beta 20.90
_cell_angle_gamma 20.90
_space_group_name_H-M_alt 'P 1'
_space_group_IT_number 1
loop_
_space_group_symop_operation_xyz
'x,y,z'
loop_
_atom_site_label
_atom_site_type_symbol
_atom_site_fract_x
_atom_site_fract_y
_atom_site_fract_z
Mo1 Mo 0.498 0.498 0.498
Mo2 Mo 0.002 0.002 0.002
Zr1 Zr 0.750 0.750 0.750
Pb1 Pb 0.250 0.250 0.250
```

***

# PBE BaAgHg4, relaxed
data_BaAgHg4
_chemical_formula_sum 'Ba2 Ag2 Hg8'
_cell_length_a 5.805
_cell_length_b 7.626
_cell_length_c 9.193
_cell_angle_alpha 114.50
_cell_angle_beta 112.19
_cell_angle_gamma 90.00
_space_group_name_H-M_alt 'P 1'
_space_group_IT_number 1
loop_
_space_group_symop_operation_xyz
'x,y,z'
loop_
_atom_site_label
_atom_site_type_symbol
_atom_site_fract_x
_atom_site_fract_y
_atom_site_fract_z
Hg1 Hg 0.653 0.915 0.224
Hg2 Hg 0.000 0.194 0.000
Hg3 Hg 0.347 0.691 0.776
Hg4 Hg 0.923 0.339 0.678
Hg5 Hg 0.347 0.085 0.776
Hg6 Hg 0.653 0.309 0.224
Hg7 Hg 0.077 0.661 0.322
Hg8 Hg 0.000 0.806 0.000
Ag1 Ag 0.668 0.456 0.911
Ag2 Ag 0.332 0.544 0.089
Ba1 Ba 0.263 0.211 0.421
Ba2 Ba 0.737 0.789 0.579
# * ΔE to the lowest computed polymorph: 20 meV per atom

***

Values of DFT formation energy, in order: -0.223 0.617 -0.246, all in eV per atom.